Entry from Alexandria via LeMat-Bulk: crystalline FeReHRh2 at its relaxed geometry (PBE).

The space group is P4/mmm (No. 123) and the conventional cell measures 3.8448, 3.8448 and 3.9265 Å, with angles of 90.00, 90.00 and 90.00 degrees. The inequivalent atoms are Fe at (0.0000, 0.0000, 0.0000), Re at (0.5000, 0.5000, 0.0000), H at (0.5000, 0.5000, 0.5000) and Rh at (0.0000, 0.5000, 0.5000).

As for the final energy: -38.40 eV/cell.


Entry from Alexandria via LeMat-Bulk: crystalline CsNaTi at its relaxed geometry (PBE).

The space group is P1 (No. 1) and the conventional cell measures 4.2830, 7.7994 and 8.8459 Å, with angles of 100.05, 92.05 and 105.54 degrees. The inequivalent atoms are Cs at (0.0000, 0.0000, 0.0000), Cs at (0.0132, 0.9015, 0.4869), Na at (0.2820, 0.4782, 0.7522), Na at (0.7090, 0.3717, 0.3810), Ti at (0.2869, 0.5589, 0.1468) and Ti at (0.8042, 0.4853, 0.0440).

The energy relative to the lowest polymorph listed for this composition comes out at 8.9 meV per atom. The value obtained for the formation energy is 0.76 eV per atom.


Entry from Alexandria via LeMat-Bulk: crystalline LiBC at its relaxed geometry (PBE).

The space group is P4/nmm (No. 129, origin choice 2) and the conventional cell measures 2.8532, 2.8532 and 5.2526 Å, with angles of 90.00, 90.00 and 90.00 degrees. The inequivalent atoms are Li at (0.2500, 0.2500, 0.1361), B at (0.2500, 0.7500, 0.5000) and C at (0.2500, 0.2500, 0.6779).

The value obtained for the formation energy is 0.12 eV per atom.


no.,total magnetic moment (μB/atom)
1,0.50
2,0.00
3,0.00